{
  "formula": "Li2MnVP2O8F2",
  "functional": "GGA+U",
  "state": "relaxed",
  "spacegroup": "P1",
  "polymorph_energy_ev_per_atom": 0.029,
  "lattice_angstrom": [[5.1922, 0.0000, 0.0000], [1.6939, 10.2675, 0.0000], [1.2705, 1.9448, 10.2280]],
  "species": ["Li", "Li", "Li", "Li", "Li", "Li", "Mn", "Mn", "Mn", "V", "V", "V", "P", "P", "P", "P", "P", "P", "O", "O", "O", "O", "O", "O", "O", "O", "O", "O", "O", "O", "O", "O", "O", "O", "O", "O", "O", "O", "O", "O", "O", "O", "F", "F", "F", "F", "F", "F"],
  "fractional_positions": [[0.0000, 0.0000, 0.0000], [0.0058, 0.1584, 0.5410], [0.3391, 0.6614, 0.6706], [0.3468, 0.8278, 0.2026], [0.6618, 0.3210, 0.3404], [0.6789, 0.4949, 0.8721], [0.1731, 0.4098, 0.1047], [0.3449, 0.7434, 0.9374], [0.6708, 0.4111, 0.6051], [0.9997, 0.0748, 0.2728], [0.5031, 0.0801, 0.7715], [0.8402, 0.7419, 0.4383], [0.1544, 0.3757, 0.7994], [0.1871, 0.4459, 0.4104], [0.4848, 0.0364, 0.4710], [0.5159, 0.1149, 0.0753], [0.8280, 0.7043, 0.1319], [0.8610, 0.7840, 0.7423], [0.0394, 0.4067, 0.9358], [0.0755, 0.7776, 0.0865], [0.0826, 0.7159, 0.8317], [0.1237, 0.5951, 0.4075], [0.2182, 0.2275, 0.7999], [0.2646, 0.1024, 0.3816], [0.2721, 0.0401, 0.1192], [0.3028, 0.4124, 0.2751], [0.3619, 0.0647, 0.6067], [0.3999, 0.4497, 0.7498], [0.4128, 0.3811, 0.4979], [0.4479, 0.2632, 0.0787], [0.5537, 0.8875, 0.4711], [0.6079, 0.7731, 0.0419], [0.6131, 0.7106, 0.7879], [0.6418, 0.0917, 0.9382], [0.7060, 0.7335, 0.2676], [0.7301, 0.1100, 0.4260], [0.7363, 0.0461, 0.1640], [0.7941, 0.9323, 0.7416], [0.8943, 0.5553, 0.1331], [0.9272, 0.4416, 0.7129], [0.9407, 0.3728, 0.4603], [0.9794, 0.7529, 0.6068], [0.0766, 0.8750, 0.3357], [0.2676, 0.9525, 0.8715], [0.4285, 0.5399, 0.0035], [0.6047, 0.6072, 0.5394], [0.7369, 0.2148, 0.6699], [0.9233, 0.2703, 0.2104]]
}